Entry 1:
## Ta2Co (PBE)

Data for an optimized crystal structure of Ta2Co.

calculated volume = 49 Å³ per cell
energy of formation from the pure elements = 52.4 kJ per mole of atoms

Lattice parameters (Å, degrees): 4.6248 4.6248 2.6616 90.00 90.00 120.00
Space group P6/mmm (No. 191)
Unique sites:
Ta 0.3333 0.6667 0.0000
Co 0.0000 0.0000 0.5000


Entry 2:
## NaTbNp2Te4 (PBE)

Data for an optimized crystal structure of NaTbNp2Te4.

calculated volume = 246 Å³ per cell
formation energy without anion corrections = -0.864 eV per atom

Lattice parameters (Å, degrees): 7.6472 4.3970 7.7542 90.00 109.32 90.00
Space group P2/m (No. 10)
Unique sites:
Na 0.0000 0.0000 0.0000
Tb 0.0000 0.5000 0.5000
Np 0.5000 0.0000 0.5000
Np 0.5000 0.5000 0.0000
Te 0.2472 0.0000 0.7488
Te 0.2488 0.5000 0.2536


Entry 3:
## ScPOs2 (PBE)

Data for an optimized crystal structure of ScPOs2.

calculated volume = 62 Å³ per cell
energy of formation from the pure elements = -15.9 kJ per mole of atoms

Lattice parameters (Å, degrees): 2.9828 3.8583 5.5235 90.00 104.62 90.00
Space group P2/m (No. 10)
Unique sites:
Sc 0.0000 0.0000 0.0000
P 0.5000 0.0000 0.5000
Os 0.3740 0.5000 0.7213


Entry 4:
## LiMoOs2 (PBE)

Data for an optimized crystal structure of LiMoOs2.

calculated volume = 112 Å³ per cell
energy of formation from the pure elements = 30.2 kJ per mole of atoms

Lattice parameters (Å, degrees): 3.7566 3.7566 7.9532 90.00 90.00 90.00
Space group I-4m2 (No. 119)
Unique sites:
Li 0.0000 0.0000 0.0000
Mo 0.0000 0.5000 0.7500
Os 0.0000 0.0000 0.5000
Os 0.0000 0.5000 0.2500


Entry 5:
## CdAgH2 (PBE)

Data for an optimized crystal structure of CdAgH2.

calculated volume = 110 Å³ per cell
raw total energy = -2.284 eV/atom

Lattice parameters (Å, degrees): 2.8100 7.0620 5.5453 90.00 90.16 90.00
Space group P2_1/m (No. 11)
Unique sites:
Cd 0.0006 0.2500 0.2488
Ag 0.4982 0.2500 0.7490
H 0.0021 0.5758 0.2512


Entry 6:
## CdInHgI3 (PBE)

Data for an optimized crystal structure of CdInHgI3.

calculated volume = 1096 Å³ per cell
formation energy without anion corrections = -0.382 eV per atom

Lattice parameters (Å, degrees): 8.1958 17.7139 8.1763 90.00 112.63 90.00
Space group C2/c (No. 15)
Unique sites:
Cd 0.0000 0.0491 0.2500
In 0.0000 0.3985 0.2500
Hg 0.0000 0.2569 0.7500
I 0.0000 0.2028 0.2500
I 0.2495 0.4567 0.9920


Entry 7:
## KTiCu2Ni (PBE)

Data for an optimized crystal structure of KTiCu2Ni.

calculated volume = 101 Å³ per cell
energy of formation from the pure elements = 180.7 kJ per mole of atoms

Lattice parameters (Å, degrees): 4.7516 4.7516 4.4781 90.00 90.00 90.00
Space group P4/mmm (No. 123)
Unique sites:
K 0.0000 0.0000 0.0000
Ti 0.5000 0.5000 0.5000
Cu 0.0000 0.5000 0.0000
Ni 0.0000 0.0000 0.5000


Entry 8:
## PmPr5ErTm2 (PBE)

Data for an optimized crystal structure of PmPr5ErTm2.

calculated volume = 1257 Å³ per cell
energy of formation from the pure elements = 13.9 kJ per mole of atoms

Lattice parameters (Å, degrees): 5.6532 20.5737 10.8059 90.00 90.00 90.00
Space group Cmc2_1 (No. 36)
Unique sites:
Pm 0.0000 0.2000 0.0000
Pr 0.0000 0.0147 0.0080
Pr 0.0000 0.2803 0.3009
Pr 0.0000 0.2955 0.6938
Pr 0.0000 0.3864 0.0121
Pr 0.0000 0.4833 0.7344
Er 0.0000 0.4079 0.4536
Tm 0.0000 0.1110 0.7315
Tm 0.0000 0.1148 0.2972


Entry 9:
## DyErSi4 (PBE)

Data for an optimized crystal structure of DyErSi4.

calculated volume = 484 Å³ per cell
formation energy without anion corrections = -0.402 eV per atom

Lattice parameters (Å, degrees): 8.3687 14.4396 4.0017 90.00 90.00 90.00
Space group Pbam (No. 55)
Unique sites:
Dy 0.0984 0.1310 0.0000
Er 0.1387 0.4143 0.0000
Si 0.0418 0.2855 0.5000
Si 0.1296 0.9700 0.5000
Si 0.1320 0.5724 0.5000
Si 0.1800 0.8086 0.5000


Entry 10:
## LaSmDy2P4 (PBE)

Data for an optimized crystal structure of LaSmDy2P4.

calculated volume = 391 Å³ per cell
energy of formation from the pure elements = -151.1 kJ per mole of atoms

Lattice parameters (Å, degrees): 5.8029 5.8029 11.6062 90.00 90.00 90.00
Space group I4/mmm (No. 139)
Unique sites:
La 0.0000 0.0000 0.0000
Sm 0.0000 0.0000 0.5000
Dy 0.0000 0.5000 0.2500
P 0.0000 0.0000 0.2529
P 0.0000 0.5000 0.0000


Entry 11:
## Cu3C (PBE)

Data for an optimized crystal structure of Cu3C.

calculated volume = 87 Å³ per cell
energy of formation from the pure elements = 69.8 kJ per mole of atoms

Lattice parameters (Å, degrees): 2.6441 7.1777 4.5846 90.00 90.00 90.00
Space group Pmmn (No. 59, origin choice 2)
Unique sites:
Cu 0.2500 0.0671 0.2165
Cu 0.2500 0.2500 0.7127
C 0.2500 0.7500 0.6149


Entry 12:
## CrPAu2 (PBE)

Data for an optimized crystal structure of CrPAu2.

calculated volume = 134 Å³ per cell
energy of formation from the pure elements = 15.7 kJ per mole of atoms

Lattice parameters (Å, degrees): 7.6117 2.9552 5.9924 90.00 96.83 90.00
Space group Cm (No. 8)
Unique sites:
Cr 0.0000 0.0000 0.0000
P 0.2834 0.0000 0.9272
Au 0.2247 0.5000 0.2983
Au 0.4772 0.0000 0.6038